# ScAl2Cr (GGA-PBE, relaxed)
data_ScAl2Cr
_chemical_formula_sum 'Sc1 Al2 Cr1'
_cell_length_a 4.527
_cell_length_b 3.063
_cell_length_c 4.886
_cell_angle_alpha 89.95
_cell_angle_beta 90.00
_cell_angle_gamma 90.00
_symmetry_space_group_name_H-M 'P 1'
_symmetry_Int_Tables_number 1
loop_
_symmetry_equiv_pos_as_xyz
'x,y,z'
loop_
_atom_site_label
_atom_site_type_symbol
_atom_site_fract_x
_atom_site_fract_y
_atom_site_fract_z
Sc1 Sc 0.500 0.626 0.798
Cr1 Cr 0.000 0.624 0.442
Al1 Al 0.000 0.125 0.964
Al2 Al 0.500 0.125 0.295
# density of states at the Fermi level = 1.74 states/eV per cell
# space-group type = No. 6
# electronic total energy = -5.9876 eV/atom
# formation enthalpy at 0 K = -0.13 eV per atom
# volume = 67.8 Å³/cell